8
Lattice="7.240 0.000 0.000 0.000 4.541 0.000 0.000 0.000 5.654" Properties=species:S:1:pos:R:3 comment="PBEsol NdPt, optimized geometry" total_magnetization_mub_per_cell=0.0 space_group="Pnma, No. 62" formation_energy_ev_per_atom=-1.0878 e_tot_ev_per_atom=-7.1529 pbc="T T T"
Nd 1.319 1.135 0.784
Nd 2.301 3.406 3.611
Nd 4.939 1.135 2.044
Nd 5.921 3.406 4.871
Pt 0.312 1.135 3.682
Pt 3.308 3.406 0.855
Pt 3.932 1.135 4.799
Pt 6.928 3.406 1.972